This record from Alexandria via LeMat-Bulk describes Bi2F5 after structural relaxation. The functional is PBE-GGA.

```
Bi2F5
1.0
6.381 -2.914 0.000
6.381 2.914 0.000
-0.475 0.000 6.086
Bi F
4 10
direct
0.114 0.644 0.938 Bi
0.356 0.886 0.562 Bi
0.644 0.114 0.438 Bi
0.886 0.356 0.062 Bi
0.070 0.930 0.250 F
0.213 0.217 0.806 F
0.217 0.213 0.306 F
0.323 0.496 0.608 F
0.496 0.323 0.108 F
0.504 0.677 0.892 F
0.677 0.504 0.392 F
0.783 0.787 0.694 F
0.787 0.783 0.194 F
0.930 0.070 0.750 F
```

## Properties
For the density of states at the Fermi level, the calculation gives 3.573 states/eV per cell. The uncorrected energy is -64.25 eV/cell. The calculation puts the total magnetic moment at 0.00 μB/cell.